Entry from Alexandria: a geometry-optimized Pm3As2PtRh9 structure (PBE).

Computed properties:
DOS at the Fermi energy: 9.7 states/eV per cell
ΔH_f (0 K): -346 meV per atom
mass density: 9327 kg/m³
DFT total energy: -100.940 eV per cell
spin magnetization: 0.00 μB per formula unit

Cell and atoms, written as CIF:
```
data_Pm3As2PtRh9
_cell_length_a 5.6008
_cell_length_b 5.6008
_cell_length_c 11.1803
_cell_angle_alpha 90.00
_cell_angle_beta 90.00
_cell_angle_gamma 120.00
_symmetry_space_group_name_H-M 'P -3 m 1'
_symmetry_Int_Tables_number 164
_symmetry_space_group_name_Hall '-P 3 2"'
loop_
_atom_site_label
_atom_site_type_symbol
_atom_site_fract_x
_atom_site_fract_y
_atom_site_fract_z
Pm1 Pm 0.0000 0.0000 0.0000
Pm2 Pm 0.3333 0.6667 0.5795
As1 As 0.3333 0.6667 0.1608
Pt1 Pt 0.0000 0.0000 0.5000
Rh1 Rh 0.0000 0.5000 0.0000
Rh2 Rh 0.1600 0.3200 0.3108
```